Pr2Ga2Cu after structural relaxation. Source: Alexandria, functional PBE.

```
Pr2Ga2Cu
1.0
4.527 0.000 0.000
2.263 5.350 -0.191
2.263 0.507 9.632
Cu Pr Ga
2 4 4
direct
0.380 0.891 0.349
0.620 0.109 0.651
0.311 0.712 0.667
0.083 0.723 0.112
0.689 0.288 0.333
0.917 0.277 0.888
0.081 0.278 0.561
0.626 0.860 0.887
0.919 0.722 0.439
0.374 0.140 0.113
```

Energy of formation from the pure elements (eV/atom): -0.4919
Theoretical density (Mg/m³): 6.889